A PBEsol-optimized structure of Pr2Co17, computed with SCAN.

abc: 6.2201 6.2201 6.2201
angles: 83.17 83.17 83.17
With the nearest neighbours (Å) after each atom.
Atoms (fractional coordinates):
1 Pr 0.1548 0.1548 0.1548  19 Co 2.97-3.20
2 Pr 0.8452 0.8452 0.8452  19 Co 2.97-3.20
3 Co 0.0000 0.5000 0.5000  10 Co 2.34-2.53
4 Co 0.1572 0.1572 0.6472  9 Co 2.37-2.56
5 Co 0.1572 0.6472 0.1572  9 Co 2.37-2.56
6 Co 0.2157 0.5000 0.7843  10 Co 2.34-2.61
7 Co 0.2157 0.7843 0.5000  10 Co 2.34-2.61
8 Co 0.3528 0.8428 0.8428  9 Co 2.37-2.56
9 Co 0.4040 0.4040 0.4040  7 Co 2.30-2.54
10 Co 0.5000 0.0000 0.5000  10 Co 2.34-2.53
11 Co 0.5000 0.2157 0.7843  10 Co 2.34-2.61
12 Co 0.5000 0.5000 0.0000  10 Co 2.34-2.53
13 Co 0.5000 0.7843 0.2157  10 Co 2.34-2.61
14 Co 0.5960 0.5960 0.5960  7 Co 2.30-2.54
15 Co 0.6472 0.1572 0.1572  9 Co 2.37-2.56
16 Co 0.7843 0.2157 0.5000  10 Co 2.34-2.61
17 Co 0.7843 0.5000 0.2157  10 Co 2.34-2.61
18 Co 0.8428 0.3528 0.8428  9 Co 2.37-2.56
19 Co 0.8428 0.8428 0.3528  9 Co 2.37-2.56

Values from the calculation:
Its space group is No. 166. The value obtained for the calculated total energy is -20.02 eV per atom.